A plane-wave DFT calculation with PBE was carried out for a relaxed structure of Ta2MnNi.

```
Ta2MnNi
1.0
8.978 -0.071 -0.042
8.545 2.755 -0.042
8.545 1.309 2.425
Mn Ni Ta
1 1 2
direct
0.494 0.494 0.494
0.754 0.754 0.754
0.008 0.008 0.008
0.244 0.244 0.244
```

## Properties
Energy of formation from the pure elements   0.2131 eV per atom
D(E_F)   1.17 states/eV per atom
Distance to the lowest polymorph of the same formula   354 meV per atom

---

A plane-wave DFT calculation with PBE was carried out for a relaxed structure of ZnSiTe2.

```
ZnSiTe2
1.0
6.030 -0.042 0.044
-0.974 5.951 -0.044
-0.301 -4.859 3.558
Si Te Zn
1 2 1
direct
0.250 0.750 0.500
0.003 0.003 0.000
0.497 0.497 0.000
0.750 0.250 0.500
```

## Properties
Uncorrected formation energy   0.288 eV/atom
D(E_F)   0.46 states/eV per atom
Distance to the lowest polymorph of the same formula   293 meV per atom

---

A plane-wave DFT calculation with PBE was carried out for a relaxed structure of LiBi2TeS6.

```
LiBi2TeS6
1.0
6.943 0.000 0.001
3.471 6.012 0.000
3.472 2.003 5.972
Li Bi Te S
1 2 1 6
direct
0.805 0.805 0.584
0.524 0.524 0.429
0.016 0.016 0.953
0.324 0.324 0.027
0.591 0.179 0.263
0.179 0.967 0.263
0.967 0.591 0.263
0.449 0.693 0.745
0.693 0.114 0.745
0.114 0.449 0.745
```

## Properties
Uncorrected formation energy   -0.261 eV/atom
D(E_F)   0.62 states/eV per atom

---

A plane-wave DFT calculation with PBE was carried out for a relaxed structure of H2PbN2.

```
H2PbN2
1.0
-4.501 -2.562 3.579
-0.307 -4.924 -3.911
1.921 -1.300 1.486
Pb H N
2 4 4
direct
0.000 0.000 0.000
0.500 0.500 0.000
0.391 0.891 0.500
0.891 0.609 0.500
0.609 0.109 0.500
0.109 0.391 0.500
0.421 0.921 0.000
0.921 0.579 0.000
0.579 0.079 0.000
0.079 0.421 0.000
```

## Properties
D(E_F)   0.24 states/eV per atom
Distance to the lowest polymorph of the same formula   0 meV per atom

---

A plane-wave DFT calculation with PBE was carried out for a relaxed structure of GdNi12B6.

```
GdNi12B6
1.0
6.042 0.001 0.000
-1.544 5.842 0.000
0.000 0.000 11.006
Gd Ni B
2 24 12
direct
0.833 0.833 0.497
0.167 0.167 0.997
0.568 0.568 0.917
0.432 0.432 0.417
0.782 0.782 0.099
0.218 0.218 0.599
0.543 0.805 0.734
0.805 0.543 0.734
0.457 0.195 0.234
0.195 0.457 0.234
0.145 0.882 0.756
0.882 0.145 0.756
0.855 0.118 0.256
0.118 0.855 0.256
0.657 0.272 0.568
0.272 0.657 0.568
0.343 0.728 0.068
0.728 0.343 0.068
0.631 0.997 0.937
0.997 0.631 0.937
0.369 0.003 0.437
0.003 0.369 0.437
0.474 0.212 0.776
0.212 0.474 0.776
0.526 0.788 0.276
0.788 0.526 0.276
0.836 0.836 0.838
0.164 0.164 0.338
0.486 0.486 0.657
0.514 0.514 0.157
0.327 0.757 0.885
0.757 0.327 0.885
0.673 0.243 0.385
0.243 0.673 0.385
0.400 0.987 0.622
0.987 0.400 0.622
0.600 0.013 0.122
0.013 0.600 0.122
```

## Properties
Energy of formation from the pure elements   -0.3948 eV per atom
D(E_F)   0.45 states/eV per atom

---

A plane-wave DFT calculation with PBE was carried out for a relaxed structure of Dy3NiAu.

```
Dy3NiAu
1.0
4.050 -0.001 0.000
0.002 7.018 0.000
0.000 0.000 8.826
Dy Ni Au
6 2 2
direct
0.750 0.750 0.065
0.250 0.250 0.935
0.750 0.998 0.666
0.750 0.502 0.666
0.250 0.002 0.334
0.250 0.498 0.334
0.750 0.750 0.409
0.250 0.250 0.591
0.750 0.250 0.171
0.250 0.750 0.829
```

## Properties
Energy of formation from the pure elements   -0.4470 eV per atom
D(E_F)   1.08 states/eV per atom
Distance to the lowest polymorph of the same formula   29 meV per atom

---

A plane-wave DFT calculation with PBE was carried out for a relaxed structure of MoPbCl.

```
MoPbCl
1.0
4.616 0.000 0.000
-2.308 3.998 0.000
0.000 0.000 3.274
Cl Mo Pb
1 1 1
direct
0.000 0.000 0.167
0.667 0.333 0.167
0.333 0.667 0.666
```

## Properties
Uncorrected formation energy   0.510 eV/atom
D(E_F)   0.81 states/eV per atom
Distance to the lowest polymorph of the same formula   445 meV per atom

---

A plane-wave DFT calculation with PBE was carried out for a relaxed structure of Ba2NaGeBr.

```
Ba2NaGeBr
1.0
-2.250 -5.733 0.866
3.739 -1.944 -3.159
3.758 -0.734 4.901
Na Ge Ba Br
1 1 2 1
direct
0.000 0.500 0.000
0.500 0.500 0.500
0.000 0.000 0.500
0.500 0.000 0.000
0.000 0.000 0.000
```

## Properties
Uncorrected formation energy   -0.518 eV/atom
D(E_F)   0.47 states/eV per atom

---

A plane-wave DFT calculation with PBE was carried out for a relaxed structure of KAsCl2.

```
KAsCl2
1.0
-0.344 -1.239 -5.753
2.143 -5.467 -0.515
-4.412 3.028 2.474
As K Cl
1 1 2
direct
0.250 0.750 0.500
0.750 0.250 0.500
0.063 0.063 0.000
0.437 0.437 0.000
```

## Properties
Uncorrected formation energy   -0.774 eV/atom
Distance to the lowest polymorph of the same formula   52 meV per atom

---

A plane-wave DFT calculation with PBE was carried out for a relaxed structure of FeRe3Sb.

```
FeRe3Sb
1.0
4.483 0.000 0.000
0.000 4.483 0.000
0.000 0.000 4.483
Re Fe Sb
3 1 1
direct
0.000 0.500 0.000
0.000 0.000 0.500
0.500 0.000 0.000
0.000 0.000 0.000
0.500 0.500 0.500
```

## Properties
Uncorrected formation energy   1.514 eV/atom
D(E_F)   1.16 states/eV per atom
Distance to the lowest polymorph of the same formula   0 meV per atom